Density functional theory data (GGA-PBE) for crystalline TbSmSb2 at its relaxed geometry.

Cell and atoms, written as POSCAR:
```
TbSmSb2
1.0
2.2193 1.2813 7.2388
-2.2193 1.2813 7.2388
0.0000 -2.5627 7.2388
Tb Sm Sb
1 1 2
Cartesian
0.0000 0.0000 0.0000
0.0000 0.0000 10.8582
0.0000 0.0000 5.4618
0.0000 0.0000 16.2545
```

ΔE_f (raw), meV per atom: -1162
VASP energy, eV/atom: -5.56

Density functional theory data (GGA-PBE) for crystalline Tb2SmSb at its relaxed geometry.

Cell and atoms, written as POSCAR:
```
Tb2SmSb
1.0
4.8339 0.0000 0.0000
0.0000 4.8339 0.0000
0.0000 0.0000 4.8066
Tb Sm Sb
2 1 1
Cartesian
0.0000 2.4170 0.0000
2.4170 0.0000 0.0000
0.0000 0.0000 2.4033
2.4170 2.4170 2.4033
```

ΔE_f (raw), meV per atom: -505
VASP energy, eV/atom: -5.03

Density functional theory data (GGA-PBE) for crystalline Tb3Sm5Sb8 at its relaxed geometry.

Cell and atoms, written as POSCAR:
```
Tb3Sm5Sb8
1.0
4.4462 2.5670 7.2597
-4.4462 2.5670 7.2597
0.0000 -5.1340 7.2597
Tb Sm Sb
3 5 8
Cartesian
-2.2231 -1.2835 7.2597
-2.2231 1.2835 14.5195
0.0000 2.5670 7.2597
0.0000 0.0000 0.0000
-4.4462 0.0000 10.8896
-2.2231 1.2835 3.6299
2.2231 1.2835 3.6299
0.0000 0.0000 10.8896
0.0000 -2.5514 9.0527
-2.2096 1.2757 9.0527
0.0000 0.0000 5.4775
-2.2096 -1.2757 12.7265
2.2096 1.2757 9.0527
0.0000 0.0000 16.3018
2.2096 -1.2757 12.7265
0.0000 2.5514 12.7265
```

ΔE_f (raw), meV per atom: -1165
VASP energy, eV/atom: -5.57

Density functional theory data (GGA-PBE) for crystalline Tb5SmSb6 at its relaxed geometry.

Cell and atoms, written as POSCAR:
```
Tb5SmSb6
1.0
3.8233 -6.6225 0.0000
3.8233 6.6225 0.0000
-2.5506 0.0000 7.2073
Tb Sm Sb
5 1 6
Cartesian
0.0000 0.0000 0.0000
2.5480 4.4096 3.6036
3.8233 2.1930 0.0000
3.8233 -2.1930 0.0000
2.5480 -4.4096 3.6036
2.5480 0.0000 3.6036
1.2642 2.2233 1.7882
-0.0217 0.0000 5.4106
1.2642 -2.2233 1.7882
3.8318 2.2233 5.4190
5.1176 0.0000 1.7966
3.8318 -2.2233 5.4190
```

ΔE_f (raw), meV per atom: -1153
VASP energy, eV/atom: -5.54

Density functional theory data (GGA-PBE) for crystalline Tb4Sm3Sb4 at its relaxed geometry.

Cell and atoms, written as POSCAR:
```
Tb4Sm3Sb4
1.0
-2.1676 2.2293 17.8235
2.1676 -2.2293 17.8235
2.1676 2.2293 -17.8235
Tb Sm Sb
4 3 4
Cartesian
0.0000 0.0000 3.4544
2.1676 0.0000 8.9030
0.0000 2.2293 8.9205
0.0000 0.0000 32.1926
2.1676 0.0000 0.0000
0.0000 0.0000 12.1457
0.0000 0.0000 23.5012
0.0000 0.0000 6.5702
2.1676 0.0000 16.3432
0.0000 2.2293 1.4803
0.0000 0.0000 29.0768
```

ΔE_f (raw), meV per atom: -606
VASP energy, eV/atom: -5.08

Density functional theory data (GGA-PBE) for crystalline TbSm8Sb6 at its relaxed geometry.

Cell and atoms, written as POSCAR:
```
TbSm8Sb6
1.0
4.0548 2.3411 8.5406
-4.0548 2.3411 8.5406
0.0000 -4.6821 8.5406
Tb Sm Sb
1 8 6
Cartesian
0.0000 0.0000 0.0000
-1.3683 -2.3253 11.6534
-2.6980 0.0223 13.9683
0.0000 0.0000 8.5393
-1.3296 2.3477 11.6534
1.3296 -2.3477 13.9683
0.0000 0.0000 17.0824
2.6980 -0.0223 11.6534
1.3683 2.3253 13.9683
-2.7129 0.0255 10.2475
-1.3786 -2.3367 15.3742
1.3344 -2.3622 10.2475
-1.3344 2.3622 15.3742
1.3786 2.3367 10.2475
2.7129 -0.0255 15.3742
```

ΔE_f (raw), meV per atom: -803
VASP energy, eV/atom: -5.28

Density functional theory data (GGA-PBE) for crystalline Tb3Sm2Sb2 at its relaxed geometry.

Cell and atoms, written as POSCAR:
```
Tb3Sm2Sb2
1.0
8.3534 -1.9829 0.0000
8.3534 1.9829 0.0000
-3.1932 0.0000 6.6348
Tb Sm Sb
3 2 2
Cartesian
0.0000 0.0000 0.0000
3.0862 0.0000 1.0029
10.4274 0.0000 5.6319
0.2613 0.0000 3.3066
13.2524 0.0000 3.3282
6.3564 0.0000 1.3460
7.1573 0.0000 5.2888
```

ΔE_f (raw), meV per atom: -430
VASP energy, eV/atom: -4.94

Density functional theory data (GGA-PBE) for crystalline Tb5Sm2Sb5 at its relaxed geometry.

Cell and atoms, written as POSCAR:
```
Tb5Sm2Sb5
1.0
7.0966 -2.1802 0.0000
7.0966 2.1802 0.0000
-3.7878 0.0000 12.1981
Tb Sm Sb
5 2 5
Cartesian
0.0000 0.0000 0.0000
0.2028 0.0000 6.5853
-0.0073 0.0000 10.3012
10.4126 0.0000 1.8968
10.2026 0.0000 5.6127
3.8329 0.0000 8.7731
6.5724 0.0000 3.4250
1.6954 0.0000 3.6510
5.1154 0.0000 0.7755
5.2027 0.0000 6.0990
5.2899 0.0000 11.4225
8.7100 0.0000 8.5470
```

ΔE_f (raw), meV per atom: -863
VASP energy, eV/atom: -5.30

Density functional theory data (GGA-PBE) for crystalline Tb2SmSb at its relaxed geometry.

Cell and atoms, written as POSCAR:
```
Tb2SmSb
1.0
2.0127 1.1620 9.5782
-2.0127 1.1620 9.5782
0.0000 -2.3241 9.5782
Tb Sm Sb
2 1 1
Cartesian
0.0000 0.0000 0.0000
0.0000 0.0000 5.7123
0.0000 0.0000 12.4462
0.0000 0.0000 17.2136
```

ΔE_f (raw), meV per atom: -347
VASP energy, eV/atom: -4.87

Density functional theory data (GGA-PBE) for crystalline Tb3SmSb2 at its relaxed geometry.

Cell and atoms, written as POSCAR:
```
Tb3SmSb2
1.0
4.5008 0.0000 0.0000
0.0000 4.5008 0.0000
0.0000 0.0000 8.5766
Tb Sm Sb
3 1 2
Cartesian
0.0000 0.0000 0.0000
0.0000 2.2504 5.5545
2.2504 0.0000 3.0221
2.2504 2.2504 0.0000
0.0000 2.2504 2.4211
2.2504 0.0000 6.1555
```

ΔE_f (raw), meV per atom: -799
VASP energy, eV/atom: -5.27

Density functional theory data (GGA-PBE) for crystalline Tb2SmSb at its relaxed geometry.

Cell and atoms, written as POSCAR:
```
Tb2SmSb
1.0
1.7668 1.0200 11.9796
-1.7668 1.0200 11.9796
0.0000 -2.0401 11.9796
Tb Sm Sb
2 1 1
Cartesian
0.0000 0.0000 3.0784
0.0000 0.0000 32.8603
0.0000 0.0000 17.9693
0.0000 0.0000 0.0000
```

ΔE_f (raw), meV per atom: 20
VASP energy, eV/atom: -4.51

Density functional theory data (GGA-PBE) for crystalline Tb2Sm5Sb4 at its relaxed geometry.

Cell and atoms, written as POSCAR:
```
Tb2Sm5Sb4
1.0
13.1946 -1.8208 0.0000
13.1946 1.8208 0.0000
-0.1513 0.0000 7.4473
Tb Sm Sb
2 5 4
Cartesian
6.1741 0.0000 2.0746
20.0638 0.0000 5.3728
2.3667 0.0000 1.4199
3.5885 0.0000 4.9284
13.1189 0.0000 3.7237
22.6493 0.0000 2.5190
23.8712 0.0000 6.0274
0.7174 0.0000 6.1284
8.5825 0.0000 0.0129
17.6554 0.0000 7.4344
25.5205 0.0000 1.3190
```

ΔE_f (raw), meV per atom: -455
VASP energy, eV/atom: -4.94

Density functional theory data (GGA-PBE) for crystalline Tb2SmSb2 at its relaxed geometry.

Cell and atoms, written as POSCAR:
```
Tb2SmSb2
1.0
3.5297 -3.0865 0.0000
3.5297 3.0865 0.0000
-2.3791 0.0000 7.0136
Tb Sm Sb
2 1 2
Cartesian
3.5297 1.5609 0.0000
3.5297 -1.5609 0.0000
2.3402 0.0000 3.5068
-0.5676 0.0000 4.9658
5.2479 0.0000 2.0478
```

ΔE_f (raw), meV per atom: -643
VASP energy, eV/atom: -5.09

Density functional theory data (GGA-PBE) for crystalline TbSm3Sb3 at its relaxed geometry.

Cell and atoms, written as POSCAR:
```
TbSm3Sb3
1.0
9.3573 0.0000 0.0000
0.0000 9.3573 0.0000
0.0000 0.0000 9.3573
Tb Sm Sb
4 12 12
Cartesian
0.6718 4.0069 5.3504
4.0069 5.3504 0.6718
5.3504 0.6718 4.0069
8.6855 8.6855 8.6855
0.6490 5.3277 8.7083
1.6658 1.6658 1.6658
1.6743 7.6830 3.0044
3.0044 1.6743 7.6830
3.0128 7.6915 6.3445
4.0296 4.0296 4.0296
5.3277 8.7083 0.6490
6.3445 3.0128 7.6915
6.3529 6.3529 6.3529
7.6830 3.0044 1.6743
7.6915 6.3445 3.0128
8.7083 0.6490 5.3277
0.0077 6.9915 5.8630
1.1844 4.6710 2.3658
2.3129 8.1729 9.3496
2.3658 1.1844 4.6710
3.4943 4.6863 7.0444
4.6710 2.3658 1.1844
4.6863 7.0444 3.4943
5.8630 0.0077 6.9915
6.9915 5.8630 0.0077
7.0444 3.4943 4.6863
8.1729 9.3496 2.3129
9.3496 2.3129 8.1729
```

ΔE_f (raw), meV per atom: -1038
VASP energy, eV/atom: -5.49

Density functional theory data (GGA-PBE) for crystalline Tb3Sm4Sb4 at its relaxed geometry.

Cell and atoms, written as POSCAR:
```
Tb3Sm4Sb4
1.0
-2.0286 4.5563 8.8943
2.0286 -4.5563 8.8943
2.0286 4.5563 -8.8943
Tb Sm Sb
3 4 4
Cartesian
0.0000 0.0000 0.0000
2.0286 0.0000 7.1756
0.0000 4.5563 1.7186
2.0286 1.6088 -2.9983
2.0286 1.6088 2.9983
0.0000 2.9475 5.8960
0.0000 2.9475 11.8926
0.0000 0.0000 4.8273
2.0286 2.6338 0.0000
0.0000 1.9225 8.8943
0.0000 0.0000 12.9612
```

ΔE_f (raw), meV per atom: -785
VASP energy, eV/atom: -5.26

Density functional theory data (GGA-PBE) for crystalline Tb3SmSb4 at its relaxed geometry.

Cell and atoms, written as POSCAR:
```
Tb3SmSb4
1.0
6.2461 0.0000 0.0000
0.0000 6.2461 0.0000
0.0000 0.0000 6.2461
Tb Sm Sb
3 1 4
Cartesian
0.0000 0.0000 3.1231
0.0000 3.1231 0.0000
3.1231 0.0000 0.0000
3.1231 3.1231 3.1231
0.0000 0.0000 0.0000
0.0000 3.1231 3.1231
3.1231 0.0000 3.1231
3.1231 3.1231 0.0000
```

ΔE_f (raw), meV per atom: -1159
VASP energy, eV/atom: -5.55

Density functional theory data (GGA-PBE) for crystalline Tb2SmSb3 at its relaxed geometry.

Cell and atoms, written as POSCAR:
```
Tb2SmSb3
1.0
-2.2131 3.1280 6.6387
2.2131 -3.1280 6.6387
2.2131 3.1280 -6.6387
Tb Sm Sb
2 1 3
Cartesian
0.0000 0.0000 2.2036
0.0000 0.0000 11.0739
0.0000 0.0000 6.6387
2.2131 0.0000 0.0000
2.2131 0.0000 4.3937
0.0000 3.1280 2.2451
```

ΔE_f (raw), meV per atom: -1157
VASP energy, eV/atom: -5.55

Density functional theory data (GGA-PBE) for crystalline Tb2SmSb at its relaxed geometry.

Cell and atoms, written as POSCAR:
```
Tb2SmSb
1.0
4.6121 0.0000 0.0000
0.0000 4.5620 0.0000
-2.3067 0.0000 11.4465
Tb Sm Sb
4 2 2
Cartesian
-0.0007 1.1405 1.3849
-0.0007 1.1405 10.0088
2.3060 3.4215 1.4376
2.3061 3.4215 10.0616
-0.0015 3.4215 6.9924
2.3068 1.1405 4.4541
0.0022 3.4215 3.8021
2.3031 1.1405 7.6444
```

ΔE_f (raw), meV per atom: -580
VASP energy, eV/atom: -5.11

Density functional theory data (GGA-PBE) for crystalline TbSm3Sb3 at its relaxed geometry.

Cell and atoms, written as POSCAR:
```
TbSm3Sb3
1.0
4.5624 2.6341 6.2447
-4.5624 2.6341 6.2447
0.0000 -5.2682 6.2447
Tb Sm Sb
2 6 6
Cartesian
0.0000 0.0000 3.1241
0.0000 0.0000 15.6100
-1.1725 -2.1013 7.7483
-2.4061 -0.0352 10.9857
-1.2335 2.0661 7.7483
1.2335 -2.0661 10.9857
2.4061 0.0352 7.7483
1.1725 2.1013 10.9857
-3.5231 -0.0380 7.8762
-1.7287 -3.0701 10.8579
1.7944 -3.0321 7.8762
-1.7944 3.0321 10.8579
1.7287 3.0701 7.8762
3.5231 0.0380 10.8579
```

ΔE_f (raw), meV per atom: -939
VASP energy, eV/atom: -5.39

Density functional theory data (GGA-PBE) for crystalline Tb2SmSb at its relaxed geometry.

Cell and atoms, written as POSCAR:
```
Tb2SmSb
1.0
4.0104 0.0000 0.0000
0.0000 4.0104 0.0000
0.0000 0.0000 7.3382
Tb Sm Sb
2 1 1
Cartesian
0.0000 0.0000 1.6069
0.0000 0.0000 5.7312
2.0052 2.0052 3.6691
2.0052 2.0052 0.0000
```

ΔE_f (raw), meV per atom: -479
VASP energy, eV/atom: -5.00

Density functional theory data (GGA-PBE) for crystalline TbSm3Sb4 at its relaxed geometry.

Cell and atoms, written as POSCAR:
```
TbSm3Sb4
1.0
4.4546 -6.2986 0.0000
4.4546 6.2986 0.0000
0.0000 0.0000 4.4552
Tb Sm Sb
1 3 4
Cartesian
0.0000 0.0000 0.0000
2.2273 3.1493 2.2276
2.2273 -3.1493 2.2276
4.4546 0.0000 0.0000
2.2006 0.0000 2.2276
4.4546 3.1685 0.0000
4.4546 -3.1685 0.0000
6.7086 0.0000 2.2276
```

ΔE_f (raw), meV per atom: -1169
VASP energy, eV/atom: -5.58

Density functional theory data (GGA-PBE) for crystalline TbSm5Sb6 at its relaxed geometry.

Cell and atoms, written as POSCAR:
```
TbSm5Sb6
1.0
3.8627 -6.6910 0.0000
3.8627 6.6910 0.0000
-2.5780 0.0000 7.2823
Tb Sm Sb
1 5 6
Cartesian
0.0000 0.0000 0.0000
2.5737 4.4492 3.6412
3.8627 2.2273 0.0000
2.5737 0.0000 3.6412
3.8627 -2.2273 0.0000
2.5737 -4.4492 3.6412
1.2776 2.2147 1.8081
-0.0213 0.0000 5.4690
1.2776 -2.2147 1.8081
3.8698 2.2147 5.4743
5.1686 0.0000 1.8133
3.8698 -2.2147 5.4743
```

ΔE_f (raw), meV per atom: -1172
VASP energy, eV/atom: -5.58